Material: CuGeAu5
Method: DFT, PBE
State: relaxed

Output
DFT formation energy = 0.0554 eV/atom

Cell: 10.6702 5.4523 8.9640 Å, 90.00 103.29 90.00°
Space group C2/c (No. 15)
Unique sites:
Cu: 0.0000 0.0000 0.0000 (multiplicity 4)
Ge: 0.0000 0.2129 0.2500 (multiplicity 4)
Au: 0.0000 0.2870 0.7500 (multiplicity 4)
Au: 0.1394 0.4011 0.5105 (multiplicity 8)
Au: 0.2245 0.1597 0.1741 (multiplicity 8)

***

Material: DyScInPd
Method: DFT, PBE
State: relaxed

Output
DFT formation energy = -0.5893 eV/atom

Cell: 7.1007 7.1007 7.1007 Å, 90.00 90.00 90.00°
Space group F-43m (No. 216)
Unique sites:
Dy: 0.0000 0.0000 0.0000 (multiplicity 4)
Sc: 0.0000 0.0000 0.5000 (multiplicity 4)
In: 0.2500 0.2500 0.7500 (multiplicity 4)
Pd: 0.2500 0.2500 0.2500 (multiplicity 4)

***

The lowest DFT formation energy belongs to which entry?
DyScInPd

***

Among the records above, which one has the highest DFT formation energy?
CuGeAu5

***

The highest DFT formation energy belongs to which entry?
CuGeAu5